[1]
First-principles (GGA-PBE) data for a relaxed structure of KAlF2, as listed in the Alexandria database.

- total magnetic moment (μB per atom) = 0.000
- distance to the lowest polymorph of the same formula (eV per atom) = 0.0000

```
data_KAlF2
_chemical_formula_sum 'K3 Al3 F6'
_cell_length_a 3.4136
_cell_length_b 3.4136
_cell_length_c 20.9641
_cell_angle_alpha 90.00
_cell_angle_beta 90.00
_cell_angle_gamma 120.00
_symmetry_space_group_name_H-M 'R -3 m'
_symmetry_Int_Tables_number 166
_symmetry_space_group_name_Hall '-R 3 2"'
loop_
_atom_site_label
_atom_site_fract_x
_atom_site_fract_y
_atom_site_fract_z
_atom_site_occupancy
K1 0.0000 0.0000 0.0000 1
Al1 0.0000 0.0000 0.5000 1
F1 0.0000 0.0000 0.4117 1
```

---

[2]
First-principles (GGA-PBE) data for a relaxed structure of Cd2Ag6Sn, as listed in the Alexandria database.

- energy of formation from the pure elements (eV/atom) = -0.023
- total magnetic moment (μB per atom) = 0.000
- distance to the lowest polymorph of the same formula (eV per atom) = 0.0000

```
data_Cd2Ag6Sn
_chemical_formula_sum 'Cd4 Ag12 Sn2'
_cell_length_a 5.182
_cell_length_b 7.798
_cell_length_c 9.302
_cell_angle_alpha 72.91
_cell_angle_beta 74.87
_cell_angle_gamma 89.36
_symmetry_space_group_name_H-M 'P -1'
_symmetry_Int_Tables_number 2
_symmetry_space_group_name_Hall '-P 1'
loop_
_atom_site_label
_atom_site_fract_x
_atom_site_fract_y
_atom_site_fract_z
_atom_site_occupancy
Cd1 0.059 0.462 0.222 1
Cd2 0.399 0.803 0.554 1
Ag1 0.057 0.311 0.552 1
Ag2 0.159 0.082 0.336 1
Ag3 0.173 0.255 0.998 1
Ag4 0.281 0.024 0.774 1
Ag5 0.387 0.640 0.889 1
Ag6 0.492 0.416 0.667 1
Sn1 0.267 0.859 0.119 1
```

---

[3]
First-principles (GGA-PBE) data for a relaxed structure of ScAgP, as listed in the Alexandria database.

- energy of formation from the pure elements (eV/atom) = -0.567
- total magnetic moment (μB per atom) = 0.000

```
data_ScAgP
_chemical_formula_sum 'Sc4 Ag4 P4'
_cell_length_a 6.126
_cell_length_b 6.126
_cell_length_c 6.126
_cell_angle_alpha 90.00
_cell_angle_beta 90.00
_cell_angle_gamma 90.00
_symmetry_space_group_name_H-M 'F -4 3 m'
_symmetry_Int_Tables_number 216
_symmetry_space_group_name_Hall 'F -4 2 3'
loop_
_atom_site_label
_atom_site_fract_x
_atom_site_fract_y
_atom_site_fract_z
_atom_site_occupancy
Sc1 0.000 0.000 0.000 1
Ag1 0.000 0.000 0.500 1
P1 0.250 0.250 0.750 1
```

---

[4]
First-principles (GGA-PBE) data for a relaxed structure of Rb2NaCdPt, as listed in the Alexandria database.

- energy of formation from the pure elements (eV/atom) = 0.010
- total magnetic moment (μB per atom) = 0.000

```
data_Rb2NaCdPt
_chemical_formula_sum 'Rb2 Na1 Cd1 Pt1'
_cell_length_a 6.557
_cell_length_b 6.557
_cell_length_c 5.277
_cell_angle_alpha 90.00
_cell_angle_beta 90.00
_cell_angle_gamma 90.00
_symmetry_space_group_name_H-M 'P 4/m m m'
_symmetry_Int_Tables_number 123
_symmetry_space_group_name_Hall '-P 4 2'
loop_
_atom_site_label
_atom_site_fract_x
_atom_site_fract_y
_atom_site_fract_z
_atom_site_occupancy
Rb1 0.000 0.500 0.000 1
Na1 0.000 0.000 0.500 1
Cd1 0.500 0.500 0.500 1
Pt1 0.500 0.500 0.000 1
```

---

[5]
First-principles (GGA-PBE) data for a relaxed structure of As2RhSe, as listed in the Alexandria database.

- calculated total energy (eV/atom) = -4.769
- total magnetic moment (μB per atom) = 0.000

```
data_As2RhSe
_chemical_formula_sum 'As4 Rh2 Se2'
_cell_length_a 4.607
_cell_length_b 4.607
_cell_length_c 6.537
_cell_angle_alpha 90.00
_cell_angle_beta 90.00
_cell_angle_gamma 90.00
_symmetry_space_group_name_H-M 'I -4 m 2'
_symmetry_Int_Tables_number 119
_symmetry_space_group_name_Hall 'I -4 -2'
loop_
_atom_site_label
_atom_site_fract_x
_atom_site_fract_y
_atom_site_fract_z
_atom_site_occupancy
As1 0.000 0.000 0.000 1
As2 0.000 0.500 0.250 1
Rh1 0.000 0.500 0.750 1
Se1 0.000 0.000 0.500 1
```

---

[6]
First-principles (GGA-PBE) data for a relaxed structure of NaPr4Y3Se8, as listed in the Alexandria database.

- calculated total energy (eV/atom) = -6.014
- total magnetic moment (μB per atom) = 0.000

```
data_NaPr4Y3Se8
_chemical_formula_sum 'Na3 Pr12 Y9 Se24'
_cell_length_a 8.3401
_cell_length_b 8.3401
_cell_length_c 20.6871
_cell_angle_alpha 90.00
_cell_angle_beta 90.00
_cell_angle_gamma 120.00
_symmetry_space_group_name_H-M 'R -3 m'
_symmetry_Int_Tables_number 166
_symmetry_space_group_name_Hall '-R 3 2"'
loop_
_atom_site_label
_atom_site_fract_x
_atom_site_fract_y
_atom_site_fract_z
_atom_site_occupancy
Na1 0.0000 0.0000 0.0000 1
Pr1 0.0000 0.0000 0.5000 1
Pr2 0.0000 0.5000 0.5000 1
Y1 0.0000 0.5000 0.0000 1
Se1 0.0000 0.0000 0.2553 1
Se2 0.0007 0.5003 0.2552 1
```

---

[7]
First-principles (GGA-PBE) data for a relaxed structure of CsCdHg2Ge, as listed in the Alexandria database.

- energy of formation from the pure elements (eV/atom) = -0.012
- total magnetic moment (μB per atom) = 0.000

```
data_CsCdHg2Ge
_chemical_formula_sum 'Cs1 Cd1 Hg2 Ge1'
_cell_length_a 5.840
_cell_length_b 5.840
_cell_length_c 5.285
_cell_angle_alpha 90.00
_cell_angle_beta 90.00
_cell_angle_gamma 90.00
_symmetry_space_group_name_H-M 'P 4/m m m'
_symmetry_Int_Tables_number 123
_symmetry_space_group_name_Hall '-P 4 2'
loop_
_atom_site_label
_atom_site_fract_x
_atom_site_fract_y
_atom_site_fract_z
_atom_site_occupancy
Cs1 0.000 0.000 0.000 1
Cd1 0.500 0.500 0.000 1
Hg1 0.000 0.500 0.500 1
Ge1 0.500 0.500 0.500 1
```

---

[8]
First-principles (GGA-PBE) data for a relaxed structure of SiAu, as listed in the Alexandria database.

- calculated total energy (eV/atom) = -4.134
- total magnetic moment (μB per atom) = 0.000

```
data_SiAu
_chemical_formula_sum 'Si8 Au8'
_cell_length_a 7.558
_cell_length_b 7.558
_cell_length_c 7.558
_cell_angle_alpha 90.00
_cell_angle_beta 90.00
_cell_angle_gamma 90.00
_symmetry_space_group_name_H-M 'I -4 3 m'
_symmetry_Int_Tables_number 217
_symmetry_space_group_name_Hall 'I -4 2 3'
loop_
_atom_site_label
_atom_site_fract_x
_atom_site_fract_y
_atom_site_fract_z
_atom_site_occupancy
Si1 0.132 0.132 0.132 1
Au1 0.186 0.186 0.814 1
```